Density functional theory data (PBE-GGA) for crystalline Y8GeS5 at its relaxed geometry.

Lattice parameters (Å, degrees): 7.311 7.311 7.311 109.25 109.25 109.91
Element x y z (fractional)
Y 0.003 0.626 0.747
Y 0.251 0.494 0.118
Y 0.374 0.121 0.377
Y 0.376 0.133 0.882
Y 0.506 0.624 0.757
Y 0.744 0.997 0.623
Y 0.867 0.749 0.243
Y 0.879 0.256 0.253
Ge 0.250 0.750 0.500
S 0.000 0.000 0.000
S 0.123 0.248 0.623
S 0.500 0.877 0.125
S 0.625 0.500 0.377
S 0.752 0.375 0.875

Summary:
- Crystal system: tetragonal
- Calculated total energy: -6.89 eV/atom
- Formation energy (no corrections): -1.388 eV/atom
- Mass density: 5.2 g/cm3
- SG: I-4 (82)

Density functional theory data (PBE-GGA) for crystalline LaSnIr2Au at its relaxed geometry.

Lattice parameters (Å, degrees): 5.099 5.099 4.894 90.00 90.00 90.00
Element x y z (fractional)
La 0.000 0.000 0.000
Sn 0.500 0.500 0.000
Ir 0.000 0.500 0.500
Ir 0.500 0.000 0.500
Au 0.500 0.500 0.500

Summary:
- Crystal system: tetragonal
- Calculated total energy: -5.29 eV/atom
- Calculated formation energy: 0.696 eV/atom
- Mass density: 10.9 g/cm3
- SG: P4/mmm (123)

Density functional theory data (PBE-GGA) for crystalline Sc2MnAu at its relaxed geometry.

Lattice parameters (Å, degrees): 9.423 9.423 9.423 18.83 18.83 18.83
Element x y z (fractional)
Sc 0.100 0.100 0.100
Sc 0.900 0.900 0.900
Mn 0.500 0.500 0.500
Au 0.000 0.000 0.000

Summary:
- Crystal system: trigonal
- Calculated total energy: -6.09 eV/atom
- Calculated formation energy: 0.192 eV/atom
- Mass density: 7.5 g/cm3
- SG: R-3m (166)

Density functional theory data (PBE-GGA) for crystalline CeLu2H at its relaxed geometry.

Lattice parameters (Å, degrees): 3.240 3.240 8.392 90.00 90.00 90.00
Element x y z (fractional)
Ce 0.000 0.000 0.000
Lu 0.500 0.500 0.308
Lu 0.500 0.500 0.692
H 0.000 0.000 0.500

Summary:
- Crystal system: tetragonal
- Calculated total energy: -4.42 eV/atom
- Mass density: 9.3 g/cm3
- SG: P4/mmm (123)

Density functional theory data (PBE-GGA) for crystalline Th5Ni2Bi at its relaxed geometry.

Lattice parameters (Å, degrees): 9.089 9.089 9.089 130.09 130.09 73.26
Element x y z (fractional)
Th 0.000 0.000 0.000
Th 0.010 0.510 0.798
Th 0.212 0.010 0.500
Th 0.288 0.788 0.798
Th 0.490 0.288 0.500
Th 0.500 0.500 0.000
Th 0.510 0.712 0.500
Th 0.712 0.212 0.202
Th 0.788 0.990 0.500
Th 0.990 0.490 0.202
Ni 0.139 0.361 0.500
Ni 0.361 0.861 0.222
Ni 0.639 0.139 0.778
Ni 0.861 0.639 0.500
Bi 0.250 0.250 0.000
Bi 0.750 0.750 0.000

Summary:
- Crystal system: tetragonal
- Calculated total energy: -6.86 eV/atom
- Calculated formation energy: -0.288 eV/atom
- Mass density: 11.5 g/cm3
- SG: I4/mcm (140)

Density functional theory data (PBE-GGA) for crystalline LaSbPb2 at its relaxed geometry.

Lattice parameters (Å, degrees): 7.161 7.161 7.161 101.98 101.98 125.80
Element x y z (fractional)
La 0.000 0.000 0.000
La 0.750 0.250 0.500
Sb 0.250 0.750 0.500
Sb 0.500 0.500 0.000
Pb 0.148 0.625 0.023
Pb 0.375 0.398 0.523
Pb 0.602 0.125 0.977
Pb 0.875 0.852 0.477

Summary:
- Crystal system: tetragonal
- Calculated total energy: -4.38 eV/atom
- Formation energy (no corrections): -0.264 eV/atom
- Mass density: 8.5 g/cm3
- SG: I-42d (122)

Density functional theory data (PBE-GGA) for crystalline SrAlW at its relaxed geometry.

Lattice parameters (Å, degrees): 3.051 3.051 7.821 90.00 90.00 120.00
Element x y z (fractional)
Sr 0.000 0.000 0.000
Al 0.333 0.667 0.628
W 0.667 0.333 0.354

Summary:
- Crystal system: trigonal
- Calculated total energy: -5.31 eV/atom
- Calculated formation energy: 0.812 eV/atom
- Mass density: 7.9 g/cm3
- SG: P3m1 (156)

Density functional theory data (PBE-GGA) for crystalline MgSc2Cu at its relaxed geometry.

Lattice parameters (Å, degrees): 9.269 9.269 9.269 20.68 20.68 20.68
Element x y z (fractional)
Mg 0.000 0.000 0.000
Sc 0.237 0.237 0.237
Sc 0.763 0.763 0.763
Cu 0.500 0.500 0.500

Summary:
- Crystal system: trigonal
- Calculated total energy: -4.55 eV/atom
- Calculated formation energy: 0.036 eV/atom
- Mass density: 3.4 g/cm3
- SG: R-3m (166)

Density functional theory data (PBE-GGA) for crystalline Sm5Y5Er2 at its relaxed geometry.

Lattice parameters (Å, degrees): 8.006 8.006 11.330 115.10 115.10 36.94
Element x y z (fractional)
Sm 0.000 0.000 0.000
Sm 0.082 0.082 0.750
Sm 0.167 0.167 0.499
Sm 0.833 0.833 0.501
Sm 0.918 0.918 0.250
Y 0.249 0.249 0.249
Y 0.334 0.334 0.000
Y 0.500 0.500 0.500
Y 0.666 0.666 0.000
Y 0.751 0.751 0.751
Er 0.417 0.417 0.750
Er 0.583 0.583 0.250

Summary:
- Crystal system: monoclinic
- Calculated total energy: -5.40 eV/atom
- Calculated formation energy: 0.018 eV/atom
- Mass density: 6.5 g/cm3
- SG: C2/m (12)

Density functional theory data (PBE-GGA) for crystalline Cs2Ge2I7 at its relaxed geometry.

Lattice parameters (Å, degrees): 9.717 9.717 7.134 96.81 96.81 95.18
Element x y z (fractional)
Cs 0.219 0.781 0.000
Cs 0.781 0.219 0.000
Ge 0.286 0.286 0.572
Ge 0.714 0.714 0.428
I 0.100 0.401 0.786
I 0.118 0.118 0.286
I 0.401 0.100 0.786
I 0.500 0.500 0.500
I 0.599 0.900 0.214
I 0.882 0.882 0.714
I 0.900 0.599 0.214

Summary:
- Crystal system: monoclinic
- Calculated total energy: -2.69 eV/atom
- Formation energy (no corrections): -0.712 eV/atom
- Mass density: 3.3 g/cm3
- SG: C2/m (12)

Density functional theory data (PBE-GGA) for crystalline Ac4IrO10 at its relaxed geometry.

Lattice parameters (Å, degrees): 6.980 6.980 6.980 100.04 100.04 130.65
Element x y z (fractional)
Ac 0.101 0.301 0.402
Ac 0.301 0.899 0.200
Ac 0.699 0.101 0.800
Ac 0.899 0.699 0.598
Ir 0.500 0.500 0.000
O 0.121 0.199 0.739
O 0.199 0.459 0.078
O 0.250 0.750 0.500
O 0.381 0.121 0.922
O 0.459 0.381 0.261
O 0.541 0.619 0.739
O 0.619 0.879 0.078
O 0.750 0.250 0.500
O 0.801 0.541 0.922
O 0.879 0.801 0.261

Summary:
- Crystal system: tetragonal
- Calculated total energy: -7.19 eV/atom
- Formation energy (no corrections): -2.197 eV/atom
- Mass density: 8.9 g/cm3
- SG: I4/m (87)

Density functional theory data (PBE-GGA) for crystalline CrInW2 at its relaxed geometry.

Lattice parameters (Å, degrees): 2.773 4.359 5.535 90.00 104.28 90.00
Element x y z (fractional)
Cr 0.000 0.000 0.000
In 0.000 0.000 0.500
W 0.458 0.500 0.230
W 0.542 0.500 0.770

Summary:
- Crystal system: monoclinic
- Calculated total energy: -9.09 eV/atom
- Calculated formation energy: 0.474 eV/atom
- Mass density: 13.7 g/cm3
- SG: P2/m (10)